4
Lattice="3.328 0.000 0.000 0.000 3.328 0.000 0.000 0.000 7.483" Properties=species:S:1:pos:R:3 comment="ErCd2Cu (PBE-GGA, optimized geometry)" space_group="P4/mmm (123)" pbc="T T T"
Er 0.000 0.000 0.000
Cd 1.664 1.664 2.207
Cd 1.664 1.664 5.275
Cu 0.000 0.000 3.741

***

12
Lattice="0.000 4.617 7.356 4.055 0.000 7.356 4.055 4.617 0.000" Properties=species:S:1:pos:R:3 comment="ErCdCu (PBE-GGA, optimized geometry)" space_group="Fddd (70)" pbc="T T T"
Er 3.041 3.463 0.714
Er 5.069 5.771 4.392
Er 3.041 3.463 10.320
Er 5.069 5.771 13.998
Cd 4.055 2.309 3.678
Cd 2.028 4.617 3.678
Cd 2.028 2.309 7.356
Cd 4.055 4.617 7.356
Cu 5.869 3.463 5.517
Cu 7.897 5.771 9.195
Cu 0.214 3.463 5.517
Cu 2.241 5.771 9.195

***

11
Lattice="3.914 -5.519 0.000 3.914 5.519 0.000 0.000 0.000 7.029" Properties=species:S:1:pos:R:3 comment="Er7Cd2Cu2 (PBE-GGA, optimized geometry)" space_group="Cmmm (65)" pbc="T T T"
Er 0.000 0.000 0.000
Er 1.957 2.759 1.799
Er 1.957 2.759 5.230
Er 1.957 -2.759 1.799
Er 1.957 -2.759 5.230
Er 3.914 0.000 1.714
Er 3.914 0.000 5.315
Cd 1.372 0.000 3.514
Cd 6.457 0.000 3.514
Cu 3.914 2.223 0.000
Cu 3.914 -2.223 0.000

***

Number 1: formation energy -0.106 eV per atom. Number 2: formation energy -0.047 eV per atom. Number 3: formation energy -0.014 eV per atom.